A relaxed MnNiSnAu crystal, computed with PBE-GGA.

Results
The spin magnetization comes out at 1.0102 μB per atom. Its formation energy from the elements is 0.00 eV/f.u.

Cell: 4.526 4.526 4.526 Å, 60.00 60.00 60.00°
Sites, in units of the cell vectors:
Mn  0.000  0.000  0.000
Ni  0.750  0.750  0.750
Sn  0.500  0.500  0.500
Au  0.250  0.250  0.250